The following is a DFT calculation (PBE) of a relaxed Sm4Bi3H crystal.

- VASP energy (eV per atom) = -4.8694
- crystal system = orthorhombic
- space-group type = Pmn2_1, No. 31

Unit cell a=6.358 b=6.375 c=12.537 alpha=90.00 beta=90.00 gamma=90.00
Element x y z (fractional)
Sm 0.064 0.843 0.000
Sm 0.640 0.251 0.000
Sm 0.064 0.236 0.253
Sm 0.564 0.764 0.247
Sm 0.140 0.749 0.500
Sm 0.564 0.157 0.500
Sm 0.564 0.764 0.753
Sm 0.064 0.236 0.747
Bi 0.564 0.751 0.000
Bi 0.065 0.737 0.248
Bi 0.565 0.263 0.252
Bi 0.064 0.249 0.500
Bi 0.565 0.263 0.748
Bi 0.065 0.737 0.752
H 0.989 0.187 0.000
H 0.489 0.813 0.500



The following is a DFT calculation (PBE) of a relaxed Tb3Er3Tm2 crystal.

- VASP energy (eV per atom) = -4.4685
- energy above the most stable polymorph in this dataset (kJ/mol of atoms) = 7.21
- energy relative to the elements (meV/atom) = 96.8
- crystal system = monoclinic
- space-group type = C2/m, No. 12

Unit cell a=5.641 b=5.944 c=8.501 alpha=111.07 beta=109.37 gamma=90.00
Element x y z (fractional)
Tb 0.367 0.928 0.734
Tb 0.500 0.500 0.000
Tb 0.633 0.072 0.266
Er 0.868 0.313 0.736
Er 0.132 0.687 0.264
Er 0.000 0.000 0.000
Tm 0.750 0.682 0.499
Tm 0.250 0.318 0.501



The following is a DFT calculation (PBE) of a relaxed TaPd2N crystal.

- raw formation energy (eV per atom) = 0.87
- VASP energy (eV per atom) = -6.7737
- energy above the most stable polymorph in this dataset (kJ/mol of atoms) = 3.98
- crystal system = cubic
- space-group type = Fm-3m, No. 225

Unit cell a=4.350 b=4.350 c=4.350 alpha=60.00 beta=60.00 gamma=60.00
Element x y z (fractional)
N 0.000 0.000 0.000
Pd 0.250 0.250 0.250
Pd 0.750 0.750 0.750
Ta 0.500 0.500 0.500



The following is a DFT calculation (PBE) of a relaxed NdEr3B4O12 crystal.

- raw formation energy (eV per atom) = -3.09
- VASP energy (eV per atom) = -8.3262
- crystal system = trigonal
- space-group type = R32, No. 155

Unit cell a=6.495 b=6.495 c=6.495 alpha=102.50 beta=102.50 gamma=102.50
Element x y z (fractional)
Nd 0.000 0.000 0.000
Er 0.537 0.463 0.000
Er 0.463 0.000 0.537
Er 0.000 0.537 0.463
B 0.962 0.038 0.500
B 0.038 0.500 0.962
B 0.500 0.962 0.038
B 0.500 0.500 0.500
O 0.500 0.364 0.636
O 0.902 0.500 0.098
O 0.098 0.902 0.500
O 0.500 0.098 0.902
O 0.366 0.972 0.179
O 0.179 0.366 0.972
O 0.972 0.179 0.366
O 0.634 0.821 0.028
O 0.028 0.634 0.821
O 0.821 0.028 0.634
O 0.636 0.500 0.364
O 0.364 0.636 0.500



The following is a DFT calculation (PBE) of a relaxed CaTl2Br8 crystal.

- raw formation energy (eV per atom) = -0.88
- VASP energy (eV per atom) = -2.7080
- energy above the most stable polymorph in this dataset (kJ/mol of atoms) = 0.21
- crystal system = monoclinic
- space-group type = C2/m, No. 12

Unit cell a=6.915 b=8.385 c=8.385 alpha=76.11 beta=82.48 gamma=82.48
Element x y z (fractional)
Ca 0.000 0.000 0.000
Tl 0.665 0.790 0.790
Tl 0.335 0.210 0.210
Br 0.222 0.290 0.907
Br 0.778 0.093 0.710
Br 0.276 0.804 0.804
Br 0.724 0.196 0.196
Br 0.222 0.907 0.290
Br 0.778 0.710 0.093
Br 0.799 0.597 0.597
Br 0.201 0.403 0.403



The following is a DFT calculation (PBE) of a relaxed Zr2MnMo crystal.

- VASP energy (eV per atom) = -9.0791
- energy above the most stable polymorph in this dataset (kJ/mol of atoms) = 16.90
- energy relative to the elements (meV/atom) = 195.2
- crystal system = cubic
- space-group type = F-43m, No. 216

Unit cell a=4.604 b=4.604 c=4.604 alpha=60.00 beta=60.00 gamma=60.00
Element x y z (fractional)
Mn 0.500 0.500 0.500
Mo 0.750 0.750 0.750
Zr 0.000 0.000 0.000
Zr 0.250 0.250 0.250



The following is a DFT calculation (PBE) of a relaxed SmY3Pd crystal.

- VASP energy (eV per atom) = -6.1719
- energy above the most stable polymorph in this dataset (kJ/mol of atoms) = 0.00
- energy relative to the elements (meV/atom) = -311.1
- crystal system = monoclinic
- space-group type = C2/c, No. 15

Unit cell a=6.155 b=9.846 c=9.846 alpha=85.42 beta=81.04 gamma=81.04
Element x y z (fractional)
Sm 0.250 0.935 0.065
Sm 0.750 0.065 0.935
Sm 0.250 0.205 0.795
Sm 0.750 0.795 0.205
Y 0.720 0.738 0.853
Y 0.780 0.147 0.262
Y 0.280 0.262 0.147
Y 0.220 0.853 0.738
Y 0.774 0.410 0.996
Y 0.726 0.004 0.590
Y 0.226 0.590 0.004
Y 0.274 0.996 0.410
Y 0.513 0.498 0.681
Y 0.987 0.319 0.502
Y 0.487 0.502 0.319
Y 0.013 0.681 0.498
Pd 0.023 0.499 0.740
Pd 0.477 0.260 0.501
Pd 0.977 0.501 0.260
Pd 0.523 0.740 0.499



The following is a DFT calculation (PBE) of a relaxed Ba2Zn6GaPt crystal.

- VASP energy (eV per atom) = -2.2738
- energy relative to the elements (meV/atom) = -218.2
- crystal system = monoclinic
- space-group type = C2/m, No. 12

Unit cell a=7.011 b=7.010 c=7.023 alpha=60.02 beta=60.02 gamma=89.93
Element x y z (fractional)
Ba 0.750 0.250 0.500
Ba 0.250 0.750 0.500
Zn 0.252 0.252 0.495
Zn 0.748 0.749 0.999
Zn 0.252 0.748 0.000
Zn 0.748 0.252 0.000
Zn 0.252 0.251 0.001
Zn 0.748 0.748 0.505
Ga 0.000 0.000 0.000
Pt 0.500 0.500 0.000



The following is a DFT calculation (PBE) of a relaxed In3Pb2 crystal.

- VASP energy (eV per atom) = -3.0039
- energy above the most stable polymorph in this dataset (kJ/mol of atoms) = 10.41
- energy relative to the elements (meV/atom) = 122.5
- crystal system = trigonal
- space-group type = P-3m1, No. 164

Unit cell a=5.233 b=5.233 c=6.798 alpha=90.00 beta=90.00 gamma=120.00
Element x y z (fractional)
In 0.000 0.000 0.000
In 0.667 0.333 0.641
In 0.333 0.667 0.359
Pb 0.667 0.333 0.168
Pb 0.333 0.667 0.832



The following is a DFT calculation (PBE) of a relaxed Pd3WS crystal.

- raw formation energy (eV per atom) = 0.72
- VASP energy (eV per atom) = -5.8153
- energy above the most stable polymorph in this dataset (kJ/mol of atoms) = 0.00
- crystal system = cubic
- space-group type = Pm-3m, No. 221

Unit cell a=4.472 b=4.472 c=4.472 alpha=90.00 beta=90.00 gamma=90.00
Element x y z (fractional)
S 0.000 0.000 0.000
Pd 0.000 0.500 0.000
Pd 0.000 0.000 0.500
Pd 0.500 0.000 0.000
W 0.500 0.500 0.500



The following is a DFT calculation (PBE) of a relaxed K2TlW crystal.

- VASP energy (eV per atom) = -3.1469
- energy above the most stable polymorph in this dataset (kJ/mol of atoms) = 24.31
- energy relative to the elements (meV/atom) = 1231.7
- crystal system = monoclinic
- space-group type = P2/m, No. 10

Unit cell a=6.001 b=3.012 c=6.594 alpha=66.22 beta=90.00 gamma=90.00
Element x y z (fractional)
K 0.000 0.007 0.996
K 0.000 0.493 0.504
Tl 0.500 0.250 0.250
W 0.500 0.750 0.750



The following is a DFT calculation (PBE) of a relaxed NbV2Pt crystal.

- VASP energy (eV per atom) = -8.3189
- energy above the most stable polymorph in this dataset (kJ/mol of atoms) = 54.07
- energy relative to the elements (meV/atom) = 268.0
- crystal system = tetragonal
- space-group type = I-42d, No. 122

Unit cell a=3.721 b=3.721 c=9.920 alpha=79.19 beta=79.19 gamma=90.00
Element x y z (fractional)
Nb 0.500 0.500 0.000
Nb 0.250 0.750 0.500
Pt 0.000 0.000 0.000
Pt 0.750 0.250 0.500
V 0.622 0.125 0.250
V 0.128 0.625 0.250
V 0.375 0.378 0.750
V 0.875 0.872 0.750